1.
Ge2AuSe2: optimized geometry, PBE-GGA.

energy above the lowest structure with this stoichiometry: 0.2329 eV/atom

Lattice parameters (Å, degrees): 7.8362 7.8362 3.8418 90.00 90.00 90.00
Fractional positions:
Se1 0.6293 0.8707 0.5000
Se2 0.8707 0.3707 0.5000
Se3 0.3707 0.1293 0.5000
Se4 0.1293 0.6293 0.5000
Ge1 0.2246 0.2754 0.0000
Ge2 0.7246 0.2246 0.0000
Ge3 0.7754 0.7246 0.0000
Ge4 0.2754 0.7754 0.0000
Au1 0.0000 0.0000 0.0000
Au2 0.5000 0.5000 0.0000


2.
InCu2Sb: optimized geometry, PBE-GGA.

Lattice parameters (Å, degrees): 3.1777 3.1777 7.7143 90.00 90.00 90.00
Fractional positions:
In1 0.0000 0.0000 0.4308
Cu1 0.5000 0.5000 0.1999
Cu2 0.0000 0.0000 0.0472
Sb1 0.5000 0.5000 0.8221


Formation energy (no corrections) for the records above, in order: 0.09, 0.13 eV per atom
Energy for the records above, in order: -38.05, -14.55 eV per cell
Total magnetic moment for the records above, in order: 0.0000, 0.0000 μB per atom